# 1
Density functional theory data (PBE-GGA) for a geometry-optimized VCu3S4 structure.

Unit cell a=5.2518 b=5.2518 c=5.2518 alpha=90.00 beta=90.00 gamma=90.00
Closest atoms and distances in Å follow each position.
Sites, in units of the cell vectors:
Cu: 0.5000 0.5000 0.0000  4 S 2.30
Cu: 0.0000 0.5000 0.5000  4 S 2.30
Cu: 0.5000 0.0000 0.5000  4 S 2.30
S: 0.7567 0.7567 0.2433  1 V 2.21, 3 Cu 2.30
S: 0.2433 0.2433 0.2433  1 V 2.21, 3 Cu 2.30
S: 0.2433 0.7567 0.7567  1 V 2.21, 3 Cu 2.30
S: 0.7567 0.2433 0.7567  1 V 2.21, 3 Cu 2.30
V: 0.0000 0.0000 0.0000  4 S 2.21

Properties
* formation energy without anion corrections: -484 meV/atom
* crystal system: cubic

---

# 2
Density functional theory data (PBE-GGA) for a geometry-optimized MgBrO2 structure.

Unit cell a=6.3099 b=7.0821 c=3.1968 alpha=90.06 beta=104.62 gamma=153.06
Closest atoms and distances in Å follow each position.
Sites, in units of the cell vectors:
Br: 0.3893 0.2511 0.8513  2 O 1.96
O: 0.9570 0.1430 0.6354  1 Br 1.96, 3 Mg 2.13-2.14
O: 0.8215 0.3591 0.0672  1 Br 1.96, 3 Mg 2.13-2.14
Mg: 0.3895 0.7511 0.8515  6 O 2.13-2.14

Properties
* formation energy without anion corrections: -1214 meV/atom
* crystal system: monoclinic

---

# 3
Density functional theory data (PBE-GGA) for a geometry-optimized LiTiGaPt structure.

Unit cell a=4.3390 b=4.3390 c=4.3390 alpha=60.00 beta=60.00 gamma=60.00
Closest atoms and distances in Å follow each position.
Sites, in units of the cell vectors:
Pt: 0.5000 0.5000 0.5000  4 Ti 2.66, 4 Ga 2.66
Li: 0.0000 0.0000 0.0000  4 Ti 2.66, 4 Ga 2.66
Ga: 0.7500 0.7500 0.7500  4 Pt 2.66, 4 Li 2.66
Ti: 0.2500 0.2500 0.2500  4 Li 2.66, 4 Pt 2.66

Properties
* E_tot: -5.514 eV/atom
* crystal system: cubic